The following is a DFT calculation (PBE) of VBSe3 after structural relaxation.

a = 4.436 Å, b = 4.436 Å, c = 4.436 Å
α = 90.00°, β = 90.00°, γ = 90.00°
Fractional positions:
1 V 0.000 0.000 0.000
2 B 0.500 0.500 0.500
3 Se 0.000 0.500 0.500
4 Se 0.500 0.000 0.500
5 Se 0.500 0.500 0.000

Properties
The offset from the most stable computed form is 1047 meV/atom. Its space group is Pm-3m, No. 221. The raw total energy is -0.3386 Ry/atom.